No. 1
Entry from Alexandria via LeMat-Bulk: a relaxed PmSnSbPt crystal (PBE).

Properties
DFT total energy: -5.19 eV per atom
symmetry: F-43m (216)
uncorrected formation energy: -466 meV/atom

Cell lengths 5.183, 5.183, 5.183 Å; angles 60.00, 60.00, 60.00 degrees
Fractional coordinates of all 4 atoms:
Sb 0.250 0.250 0.250
Sn 0.500 0.500 0.500
Pt 0.750 0.750 0.750
Pm 0.000 0.000 0.000


No. 2
Entry from Alexandria via LeMat-Bulk: a relaxed NaBeGa crystal (PBE).

Properties
DFT total energy: -2.53 eV per atom
energy of formation from the pure elements: 47 kJ/mol of formula units
symmetry: P4/nmm (129)

Cell lengths 4.012, 4.012, 6.959 Å; angles 90.00, 90.00, 90.00 degrees
Fractional coordinates of all 6 atoms:
Na 0.000 0.500 0.844
Na 0.500 0.000 0.156
Ga 0.000 0.500 0.320
Ga 0.500 0.000 0.680
Be 0.500 0.500 0.500
Be 0.000 0.000 0.500


No. 3
Entry from Alexandria via LeMat-Bulk: a relaxed CsDyMgCl6 crystal (PBE).

Properties
DFT total energy: -4.14 eV per atom
symmetry: P312 (149)
uncorrected formation energy: -2121 meV/atom

Cell lengths 6.808, 6.808, 7.809 Å; angles 90.01, 89.99, 59.98 degrees
Fractional coordinates of all 9 atoms:
Cs 0.000 0.000 0.000
Dy 0.333 0.333 0.500
Mg 0.667 0.667 0.500
Cl 0.987 0.385 0.309
Cl 0.385 0.987 0.691
Cl 0.627 0.386 0.691
Cl 0.987 0.627 0.691
Cl 0.385 0.627 0.309
Cl 0.627 0.987 0.309


No. 4
Entry from Alexandria via LeMat-Bulk: a relaxed La4Pm5Dy crystal (PBE).

Properties
DFT total energy: -4.67 eV per atom
energy of formation from the pure elements: 133 kJ/mol of formula units
symmetry: P-1 (2)

Cell lengths 6.710, 6.712, 8.668 Å; angles 109.98, 77.33, 94.45 degrees
Fractional coordinates of all 10 atoms:
La 0.677 0.977 0.318
La 0.978 0.297 0.102
La 0.323 0.023 0.682
La 0.022 0.703 0.898
Pm 0.267 0.375 0.435
Pm 0.157 0.817 0.312
Pm 0.843 0.183 0.688
Pm 0.500 0.500 0.000
Pm 0.733 0.625 0.565
Dy 0.500 0.000 0.000


No. 5
Entry from Alexandria via LeMat-Bulk: a relaxed Pm7Hg2Ir2 crystal (PBE).

Properties
DFT total energy: -5.10 eV per atom
energy of formation from the pure elements: -435 kJ/mol of formula units
symmetry: Cmmm (65)

Cell lengths 6.939, 7.299, 6.939 Å; angles 90.00, 106.84, 90.00 degrees
Fractional coordinates of all 11 atoms:
Pm 0.000 0.251 0.500
Pm 0.500 0.749 0.000
Pm 0.000 0.749 0.500
Pm 0.500 0.251 0.000
Pm 0.000 0.000 0.000
Pm 0.500 0.755 0.500
Pm 0.500 0.245 0.500
Hg 0.820 0.500 0.820
Hg 0.180 0.500 0.180
Ir 0.712 0.000 0.288
Ir 0.288 0.000 0.712


No. 6
Entry from Alexandria via LeMat-Bulk: a relaxed KHfGa crystal (PBE).

Properties
DFT total energy: -4.50 eV per atom
energy of formation from the pure elements: 56 kJ/mol of formula units
symmetry: Pmma (51)

Cell lengths 6.175, 3.106, 8.472 Å; angles 90.00, 90.00, 90.00 degrees
Fractional coordinates of all 6 atoms:
K 0.250 0.000 0.613
K 0.750 0.000 0.387
Hf 0.000 0.000 0.000
Hf 0.500 0.000 0.000
Ga 0.250 0.500 0.217
Ga 0.750 0.500 0.783


No. 7
Entry from Alexandria via LeMat-Bulk: a relaxed AlZnCuOs2 crystal (PBE).

Properties
DFT total energy: -4.86 eV per atom
energy of formation from the pure elements: 701 kJ/mol of formula units
symmetry: P4/mmm (123)

Cell lengths 4.549, 4.198, 4.549 Å; angles 90.00, 90.00, 90.00 degrees
Last column: magnetic moment on the atom in μB.
Fractional coordinates of all 5 atoms:
Zn 0.000 0.000 0.000  -0.01
Os 0.000 0.000 0.500  0.83
Os 0.500 0.000 0.000  0.62
Al 0.500 0.500 0.500  -0.02
Cu 0.000 0.500 0.000  0.06


No. 8
Entry from Alexandria via LeMat-Bulk: a relaxed YTc3P2 crystal (PBE).

Properties
DFT total energy: -8.71 eV per atom
energy of formation from the pure elements: -376 kJ/mol of formula units
symmetry: C2/m (12)

Cell lengths 4.047, 8.099, 9.449 Å; angles 105.17, 90.00, 104.47 degrees
Fractional coordinates of all 18 atoms:
Y 0.162 0.324 0.711
Y 0.838 0.676 0.289
Y 0.000 0.000 0.000
Tc 0.036 0.072 0.360
Tc 0.964 0.928 0.640
Tc 0.208 0.416 0.389
Tc 0.792 0.584 0.611
Tc 0.618 0.236 0.203
Tc 0.382 0.764 0.797
Tc 0.500 0.000 0.500
Tc 0.321 0.642 0.020
Tc 0.679 0.358 0.980
P 0.199 0.398 0.133
P 0.801 0.602 0.867
P 0.460 0.919 0.209
P 0.540 0.081 0.791
P 0.352 0.705 0.536
P 0.648 0.295 0.464


Number 1: M_tot 0.00 μB per formula unit, DOS(E_F) 4.5 states/eV per cell, density 9.79 g/cm³. Number 2: M_tot 0.00 μB per formula unit, DOS(E_F) 1.5 states/eV per cell, density 3.02 g/cm³. Number 3: M_tot 0.00 μB per formula unit, DOS(E_F) 0.0 states/eV per cell, density 2.82 g/cm³. Number 4: M_tot 0.00 μB per formula unit, DOS(E_F) 15.1 states/eV per cell, density 6.70 g/cm³. Number 5: M_tot 0.00 μB per formula unit, DOS(E_F) 11.5 states/eV per cell, density 8.89 g/cm³. Number 6: M_tot 0.00 μB per formula unit, DOS(E_F) 6.7 states/eV per cell, density 5.87 g/cm³. Number 7: M_tot 1.49 μB per formula unit, DOS(E_F) 4.3 states/eV per cell, density 10.25 g/cm³. Number 8: M_tot 0.00 μB per formula unit, DOS(E_F) 14.6 states/eV per cell, density 7.68 g/cm³.